Entry from the Alexandria database: a geometry-optimized Si2HgPb structure (GGA-PBEsol).

Unit cell a=3.5870 b=3.7175 c=6.4815 alpha=90.00 beta=90.00 gamma=90.00
Fractional coordinates of all 4 atoms:
Si: 0.0000 0.0000 0.1878
Si: 0.0000 0.0000 0.8122
Hg: 0.5000 0.5000 0.0000
Pb: 0.5000 0.5000 0.5000

Summary:
D(E_F), states/eV per cell: 1.61
Symmetry: No. 47
Energy above the lowest structure with this stoichiometry, meV/atom: 0
ΔE_f (raw), meV/atom: 431